No. 1
{"formula": "Ta2ReSeO", "functional": "PBE", "state": "optimized geometry", "lattice": [[-1.065, -3.473, 3.339], [-2.198, -1.539, -2.302], [3.715, -2.769, -1.696]], "species": ["O", "Se", "Re", "Ta", "Ta"], "frac_coords": [[0.000, 0.500, 0.000], [0.000, 0.000, 0.000], [0.500, 0.500, 0.500], [0.000, 0.000, 0.500], [0.500, 0.000, 0.000]], "energy_ev_per_atom": -8.025, "vol_a3_per_atom": 17.22, "spacegroup": "P4/mmm, No. 123", "formation_energy_uncorrected_ev_per_atom": 0.89, "magmom_total_mub_per_cell": 0.0}

***

No. 2
{"formula": "Ba2SnHgPt", "functional": "PBE", "state": "optimized geometry", "lattice": [[-5.448, -2.682, -1.449], [-0.807, -1.592, 5.982], [-2.391, 4.398, 0.848]], "species": ["Ba", "Ba", "Hg", "Sn", "Pt"], "frac_coords": [[0.500, 0.000, 0.000], [0.000, 0.500, 0.000], [0.500, 0.500, 0.500], [0.000, 0.000, 0.500], [0.000, 0.000, 0.000]], "energy_ev_per_atom": -3.409, "vol_a3_per_atom": 39.57, "formation_energy_mev_per_atom": -571, "spacegroup": "P4/mmm, No. 123", "magmom_total_mub_per_cell": 0.0}

***

No. 3
{"formula": "GaTc3Pb", "functional": "PBE", "state": "optimized geometry", "lattice": [[-1.693, -3.716, 2.944], [3.679, -3.002, -1.673], [2.991, 1.588, 3.725]], "species": ["Tc", "Tc", "Tc", "Pb", "Ga"], "frac_coords": [[0.000, 0.500, 0.000], [0.500, 0.000, 0.000], [0.000, 0.000, 0.500], [0.000, 0.000, 0.000], [0.500, 0.500, 0.500]], "energy_ev_per_atom": -5.202, "vol_a3_per_atom": 25.52, "formation_energy_mev_per_atom": 2365, "spacegroup": "Pm-3m, No. 221", "magmom_total_mub_per_cell": 6.0, "de_polymorph_mev_per_atom": 1095}

***

No. 4
{"formula": "Ta2CuAg", "functional": "PBE", "state": "optimized geometry", "lattice": [[-5.071, 5.323, -0.191], [-2.573, -2.679, -6.347], [-5.480, -0.210, -1.950]], "species": ["Ta", "Ta", "Ta", "Ta", "Ag", "Ag", "Cu", "Cu"], "frac_coords": [[0.875, 0.849, 0.750], [0.599, 0.125, 0.250], [0.375, 0.401, 0.750], [0.151, 0.625, 0.250], [0.000, 0.000, 0.000], [0.750, 0.250, 0.500], [0.250, 0.750, 0.500], [0.500, 0.500, 0.000]], "energy_ev_per_atom": -6.940, "vol_a3_per_atom": 17.68, "formation_energy_mev_per_atom": 723, "spacegroup": "I-42d, No. 122", "magmom_total_mub_per_cell": 0.0, "de_polymorph_mev_per_atom": 604}